No. 1
A relaxed structure of ZnCuAsHO5, computed with GGA-PBEsol.

Unit cell a=8.5371 b=8.5818 c=5.9370 alpha=90.00 beta=90.00 gamma=90.00
Positions (direct):
Zn (0.1393, 0.1249, 0.0000)
Zn (0.3607, 0.6249, 0.5000)
Zn (0.6393, 0.3751, 0.5000)
Zn (0.8607, 0.8751, 0.0000)
Cu (0.0000, 0.5000, 0.2503)
Cu (0.0000, 0.5000, 0.7497)
Cu (0.5000, 0.0000, 0.2497)
Cu (0.5000, 0.0000, 0.7503)
As (0.2376, 0.7455, 0.0000)
As (0.2624, 0.2455, 0.5000)
As (0.7376, 0.7545, 0.5000)
As (0.7624, 0.2545, 0.0000)
H (0.0683, 0.7041, 0.5000)
H (0.4317, 0.2041, 0.0000)
H (0.5683, 0.7959, 0.0000)
H (0.9317, 0.2959, 0.5000)
O (0.1046, 0.8953, 0.0000)
O (0.1169, 0.5995, 0.5000)
O (0.1319, 0.5723, 0.0000)
O (0.1421, 0.2572, 0.2715)
O (0.1421, 0.2572, 0.7285)
O (0.3579, 0.7572, 0.2285)
O (0.3579, 0.7572, 0.7715)
O (0.3681, 0.0723, 0.5000)
O (0.3831, 0.0995, 0.0000)
O (0.3954, 0.3953, 0.5000)
O (0.6046, 0.6047, 0.5000)
O (0.6169, 0.9005, 0.0000)
O (0.6319, 0.9277, 0.5000)
O (0.6421, 0.2428, 0.2285)
O (0.6421, 0.2428, 0.7715)
O (0.8579, 0.7428, 0.2715)
O (0.8579, 0.7428, 0.7285)
O (0.8681, 0.4277, 0.0000)
O (0.8831, 0.4005, 0.5000)
O (0.8954, 0.1047, 0.0000)

Computed properties:
Total energy   -5.598 eV/atom

No. 2
A relaxed structure of HfCuAs2, computed with GGA-PBEsol.

Unit cell a=6.4521 b=6.4521 c=6.4521 alpha=90.00 beta=90.00 gamma=90.00
Positions (direct):
Hf (0.0000, 0.0000, 0.0000)
Hf (0.0000, 0.5000, 0.5000)
Hf (0.5000, 0.0000, 0.5000)
Hf (0.5000, 0.5000, 0.0000)
Cu (0.0000, 0.0000, 0.5000)
Cu (0.0000, 0.5000, 0.0000)
Cu (0.5000, 0.0000, 0.0000)
Cu (0.5000, 0.5000, 0.5000)
As (0.2500, 0.2500, 0.2500)
As (0.2500, 0.2500, 0.7500)
As (0.2500, 0.7500, 0.2500)
As (0.2500, 0.7500, 0.7500)
As (0.7500, 0.2500, 0.2500)
As (0.7500, 0.2500, 0.7500)
As (0.7500, 0.7500, 0.2500)
As (0.7500, 0.7500, 0.7500)

Computed properties:
E_form   -0.623 eV per formula unit
D(E_F)   7.29 states/eV per cell
Total energy   -6.418 eV/atom

No. 3
A relaxed structure of Cu2HgAs2, computed with GGA-PBEsol.

Unit cell a=3.8300 b=3.8300 c=11.6157 alpha=90.00 beta=90.00 gamma=90.00
Positions (direct):
Cu (0.0000, 0.0000, 0.1045)
Cu (0.0000, 0.0000, 0.8955)
Cu (0.5000, 0.5000, 0.3955)
Cu (0.5000, 0.5000, 0.6045)
Hg (0.0000, 0.0000, 0.5000)
Hg (0.5000, 0.5000, 0.0000)
As (0.0000, 0.5000, 0.2500)
As (0.0000, 0.5000, 0.7500)
As (0.5000, 0.0000, 0.2500)
As (0.5000, 0.0000, 0.7500)

Computed properties:
E_form   1.136 eV per formula unit
D(E_F)   3.55 states/eV per cell
Total energy   -3.662 eV/atom